First-principles (GGA-PBE) data for a geometry-optimized CdAgBr structure, as listed in Alexandria.

Calculated values
D(E_F): 0.336 states/eV/atom
crystal system: hexagonal
excess energy over the best structure of this formula in the dataset: 58 meV/atom
ΔE_f (raw): -0.155 eV per atom
raw total energy: -1.9684 eV per atom

POSCAR file:
```
CdAgBr
1.0
3.735 0.000 0.000
-1.868 3.232 0.000
0.000 0.000 12.205
Ag Cd Br
2 2 2
Cartesian
0.000 2.873 0.000
0.000 2.874 6.102
1.868 1.797 4.148
1.868 1.797 8.056
0.000 0.716 10.289
0.000 0.716 1.915
```